1.
48
Lattice="5.6407 0.0000 0.0000 2.8203 8.0681 0.0000 2.8203 0.0000 8.2764" Properties=species:S:1:pos:R:3 comment="Cu3B6H2O13 | Alexandria via LeMat-Bulk | meta-GGA SCAN | PBEsol geometry" e_tot_ev_per_cell=-451.6 total_magnetization_mub_per_cell=6.07 rho_g_cm3=4.10 pbc="T T T"
B 6.3723 2.0656 6.1683
B 8.7947 7.7854 5.5028
Cu 7.7744 5.4824 6.9750
O 5.3850 0.9772 6.0016
B 4.9621 1.9685 2.0301
H 2.9153 3.6359 3.4287
O 3.9748 3.0569 1.8633
B 6.7670 1.3495 3.7972
O 5.9180 5.9934 7.3824
Cu 2.1338 2.5858 1.3015
B 2.5365 5.3836 0.3410
Cu 4.1650 0.0000 0.0000
O 5.6319 2.1710 3.3396
O 7.3282 6.1089 3.2441
O 7.3282 1.9593 5.0323
O 5.9180 2.0748 0.8941
O 2.1607 3.9896 0.0232
B 3.1540 0.2828 2.7737
B 4.9621 6.0996 6.2464
O 2.1489 1.3370 2.7567
O 2.0443 0.0000 0.0000
O 5.6319 5.8972 4.9369
O 9.9314 7.4056 6.3807
Cu 3.5439 6.6198 2.8367
O 3.9748 5.0113 6.4131
B 4.5642 4.3168 1.3645
B 8.1772 2.6845 7.9355
O 5.3850 7.0909 2.2749
O 3.5590 2.6971 6.8949
O 7.0421 6.2050 0.7986
O 3.5590 5.3711 1.3816
O 5.7009 4.6967 2.2424
O 5.7009 3.3715 6.0340
H 4.3255 0.3982 7.5670
Cu 5.5751 4.0341 4.1382
O 7.0421 1.8631 7.4778
O 4.2907 0.6626 1.8958
O 3.4544 4.0341 4.1382
O 9.2115 8.0237 4.1150
B 6.3723 6.0026 2.1082
O 7.8014 4.0786 8.2533
O 3.5708 0.0445 4.1614
H 8.5560 4.4323 4.8477
B 6.7670 6.7186 4.4792
H 4.3255 7.6699 0.7095
O 7.7895 6.7311 5.5198
Cu 3.5439 1.4483 5.4397
B 4.5642 3.7513 6.9119



2.
4
Lattice="-0.4252 -0.9075 -3.8131 -1.4942 -3.4973 -1.0393 -3.6032 -0.2114 -1.5861" Properties=species:S:1:pos:R:3 comment="HfCuB2 | Alexandria via LeMat-Bulk | meta-GGA SCAN | PBEsol geometry" e_tot_ev_per_cell=-91.2 formation_enthalpy_0k_kj_per_mol_atoms=35.8 total_magnetization_mub_per_cell=0.00 rho_g_cm3=10.10 pbc="T T T"
B -1.3807 -1.1540 -1.6096
Cu 0.0000 0.0000 0.0000
Hf -2.7613 -2.3081 -3.2192
B -4.1420 -3.4621 -4.8289



3.
5
Lattice="4.2461 0.0000 0.0000 0.0000 4.2461 0.0000 0.0000 0.0000 4.9054" Properties=species:S:1:pos:R:3 comment="HfCuReB2 | Alexandria via LeMat-Bulk | meta-GGA SCAN | PBEsol geometry" e_tot_ev_per_cell=-152.1 formation_enthalpy_0k_kj_per_mol_atoms=225.5 total_magnetization_mub_per_cell=1.44 rho_g_cm3=8.45 pbc="T T T"
B 0.0000 2.1231 0.0000
Hf 0.0000 0.0000 0.0000
B 2.1231 0.0000 0.0000
Re 0.0000 0.0000 2.4527
Cu 2.1231 2.1231 2.4527



4.
5
Lattice="3.8747 0.0000 0.0000 0.0000 5.1360 0.0000 0.0000 0.0000 5.1360" Properties=species:S:1:pos:R:3 comment="Nb2CuHgB | Alexandria via LeMat-Bulk | meta-GGA SCAN | PBEsol geometry" e_tot_ev_per_cell=-147.2 formation_enthalpy_0k_kj_per_mol_atoms=189.9 total_magnetization_mub_per_cell=0.00 rho_g_cm3=7.49 pbc="T T T"
Nb 0.0000 2.5680 0.0000
Hg 0.0000 0.0000 0.0000
Nb 0.0000 0.0000 2.5680
B 1.9374 0.0000 0.0000
Cu 1.9374 2.5680 2.5680



5.
5
Lattice="3.9965 0.0000 0.0000 0.0000 3.9965 0.0000 0.0000 0.0000 5.3112" Properties=species:S:1:pos:R:3 comment="CuHgB2Os | Alexandria via LeMat-Bulk | meta-GGA SCAN | PBEsol geometry" e_tot_ev_per_cell=-157.5 formation_enthalpy_0k_kj_per_mol_atoms=243.5 total_magnetization_mub_per_cell=2.10 rho_g_cm3=9.32 pbc="T T T"
Hg 0.0000 0.0000 0.0000
Os 0.0000 0.0000 2.6556
B 0.0000 1.9983 0.0000
Cu 1.9983 1.9983 2.6556
B 1.9983 0.0000 0.0000



6.
5
Lattice="4.0647 0.0000 0.0000 0.0000 4.0647 0.0000 0.0000 0.0000 4.7385" Properties=species:S:1:pos:R:3 comment="CuHgB2Rh | Alexandria via LeMat-Bulk | meta-GGA SCAN | PBEsol geometry" e_tot_ev_per_cell=-122.2 formation_enthalpy_0k_kj_per_mol_atoms=189.0 total_magnetization_mub_per_cell=0.00 rho_g_cm3=8.24 pbc="T T T"
B 0.0000 2.0324 0.0000
Cu 0.0000 0.0000 2.3693
Hg 0.0000 0.0000 0.0000
B 2.0324 0.0000 0.0000
Rh 2.0324 2.0324 2.3693



7.
54
Lattice="-1.1916 -2.6446 5.3493 8.1918 -1.7741 0.9477 1.3860 8.9207 4.7190" Properties=species:S:1:pos:R:3 comment="Ho2CuB8O16 | Alexandria via LeMat-Bulk | meta-GGA SCAN | PBEsol geometry" e_tot_ev_per_cell=-695.0 total_magnetization_mub_per_cell=2.01 rho_g_cm3=4.67 raw_formation_energy_ev_per_atom=-2.7842 pbc="T T T"
O 8.0162 4.0012 6.1477
O 1.6771 2.7680 2.1901
O 6.3208 -0.7646 7.5042
B 7.0161 3.1220 5.7330
Ho 3.7526 -0.5840 4.0083
B 5.4978 1.9994 8.3010
O 0.5630 -0.0614 2.5083
B 3.2287 4.6937 3.8742
O 6.7980 -1.6635 1.1480
O 7.4362 1.9806 5.0667
O 2.6665 1.1024 5.0482
B 1.3700 1.3800 5.2830
B 5.1574 -0.1917 7.1418
B 1.0533 -1.3366 2.2173
B 5.2138 6.3081 4.2801
O 4.1452 5.3874 4.6641
O 2.0653 5.2666 3.5119
B 4.3640 0.8385 1.3867
Ho 1.1335 7.2953 3.8592
O 0.2022 -2.7552 5.1490
O 4.2409 -0.8855 6.3519
O 6.7596 -2.2822 4.8865
O 4.8939 -0.4268 1.9270
O 5.7197 3.3996 5.9679
O 4.8046 1.0991 7.5058
Cu 4.1931 2.2510 5.5080
O 0.3700 0.5008 4.8684
B 1.7105 3.5711 6.4421
O 5.9575 6.4188 5.5483
O 3.4922 4.9288 9.0890
O 3.5060 1.2730 2.4876
O 4.8802 3.2290 8.5285
O 1.6266 6.7842 6.1296
O 5.3315 0.9010 4.6461
O 2.4286 -1.9168 5.4677
O 2.2633 -1.7503 2.6439
O 7.8231 4.5634 8.5078
Ho 4.6335 5.0860 7.0077
B 1.5366 -2.8926 5.0169
B 2.8883 2.5025 2.7151
B 6.6757 0.9308 4.5739
O 3.0547 3.6010 6.3699
B 0.5221 5.8728 6.4809
Ho 0.2525 1.6254 0.8598
O 4.7368 -2.6685 3.6532
O 3.5815 3.4028 3.5102
O 1.0092 4.6152 7.0449
O 0.9499 2.5214 5.9493
Cu 0.6930 4.4603 2.3595
B -0.3277 0.4032 3.5875
O 6.7090 1.7340 8.8259
B 5.9468 -3.0821 4.0797
O 7.3769 -0.1133 3.9712
B 5.4635 -1.5261 1.2802



8.
4
Lattice="4.9413 0.0000 0.0000 2.4706 4.2793 0.0000 2.4706 1.4264 4.0346" Properties=species:S:1:pos:R:3 comment="CuBI2 | Alexandria via LeMat-Bulk | meta-GGA SCAN | PBEsol geometry" e_tot_ev_per_cell=-90.7 total_magnetization_mub_per_cell=0.00 rho_g_cm3=6.39 raw_formation_energy_ev_per_atom=1.3532 pbc="T T T"
I 2.4706 1.4264 1.0086
Cu 4.9413 2.8529 2.0173
I 7.4119 4.2793 3.0259
B 0.0000 0.0000 0.0000



9.
5
Lattice="3.6405 0.0000 0.0000 0.0000 3.6405 0.0000 0.0000 0.0000 5.7818" Properties=species:S:1:pos:R:3 comment="CuB2IN | Alexandria via LeMat-Bulk | meta-GGA SCAN | PBEsol geometry" e_tot_ev_per_cell=-66.4 total_magnetization_mub_per_cell=0.38 rho_g_cm3=4.90 raw_formation_energy_ev_per_atom=1.9353 pbc="T T T"
B 0.0000 1.8203 0.0000
B 1.8203 0.0000 0.0000
I 0.0000 0.0000 2.8909
N 1.8203 1.8203 2.8909
Cu 0.0000 0.0000 0.0000



10.
5
Lattice="3.7740 0.0000 0.0000 0.0000 5.3092 0.0000 0.0000 0.0000 5.3092" Properties=species:S:1:pos:R:3 comment="CuBPdI2 | Alexandria via LeMat-Bulk | meta-GGA SCAN | PBEsol geometry" e_tot_ev_per_cell=-124.5 total_magnetization_mub_per_cell=0.00 rho_g_cm3=6.78 raw_formation_energy_ev_per_atom=0.8838 pbc="T T T"
Pd 1.8870 2.6546 2.6546
B 1.8870 0.0000 0.0000
I 0.0000 2.6546 0.0000
Cu 0.0000 0.0000 0.0000
I 0.0000 0.0000 2.6546